Record 1
Compound: LaB3O6
Source: Alexandria via LeMat-Bulk
Functional: meta-GGA SCAN
Structure: single point on PBEsol structure

Lattice parameters (Å, degrees): 4.2296 11.7325 7.2754 90.00 91.23 90.00
Last column: nearest neighbours and their distance in Å.
Positions (direct):
1 La 0.2197 0.1226 0.3814  8 O 2.44-2.71
2 La 0.2197 0.3774 0.8814  8 O 2.44-2.71
3 La 0.7803 0.6226 0.1186  8 O 2.44-2.71
4 La 0.7803 0.8774 0.6186  8 O 2.44-2.71
5 B 0.1927 0.0941 0.8735  4 O 1.45-1.53
6 B 0.1927 0.4059 0.3735  4 O 1.45-1.53
7 B 0.3119 0.6215 0.4258  4 O 1.45-1.51
8 B 0.3119 0.8785 0.9258  4 O 1.45-1.51
9 B 0.3243 0.6662 0.7884  4 O 1.45-1.54
10 B 0.3243 0.8338 0.2884  4 O 1.45-1.54
11 B 0.6757 0.1662 0.7116  4 O 1.45-1.54
12 B 0.6757 0.3338 0.2116  4 O 1.45-1.54
13 B 0.6881 0.1215 0.0742  4 O 1.45-1.51
14 B 0.6881 0.3785 0.5742  4 O 1.45-1.51
15 B 0.8073 0.5941 0.6265  4 O 1.45-1.53
16 B 0.8073 0.9059 0.1265  4 O 1.45-1.53
17 O 0.1554 0.6268 0.6101  3 B 1.51-1.54
18 O 0.1554 0.8732 0.1101  3 B 1.51-1.54
19 O 0.2056 0.5239 0.3163  2 B 1.45-1.46
20 O 0.2056 0.9761 0.8163  2 B 1.45-1.46
21 O 0.2198 0.7154 0.3054  2 B 1.46
22 O 0.2198 0.7846 0.8054  2 B 1.46
23 O 0.2509 0.5902 0.9381  1 B 1.45
24 O 0.2509 0.9098 0.4381  1 B 1.45
25 O 0.3299 0.1690 0.7357  2 B 1.46-1.48
26 O 0.3299 0.3310 0.2357  2 B 1.46-1.48
27 O 0.3470 0.1201 0.0478  2 B 1.45
28 O 0.3470 0.3799 0.5478  2 B 1.45
29 O 0.6530 0.6201 0.4522  2 B 1.45
30 O 0.6530 0.8799 0.9522  2 B 1.45
31 O 0.6701 0.6690 0.7643  2 B 1.46-1.48
32 O 0.6701 0.8310 0.2643  2 B 1.46-1.48
33 O 0.7491 0.0902 0.5619  1 B 1.45
34 O 0.7491 0.4098 0.0619  1 B 1.45
35 O 0.7802 0.2154 0.1946  2 B 1.46
36 O 0.7802 0.2846 0.6946  2 B 1.46
37 O 0.7944 0.0239 0.1837  2 B 1.45-1.46
38 O 0.7944 0.4761 0.6837  2 B 1.45-1.46
39 O 0.8446 0.1268 0.8899  3 B 1.51-1.54
40 O 0.8446 0.3732 0.3899  3 B 1.51-1.54

Crystal system = monoclinic
Energy relative to the elements, uncorrected = -3037 meV per atom



Record 2
Compound: TiP2OsBr
Source: Alexandria via LeMat-Bulk
Functional: meta-GGA SCAN
Structure: single point on PBEsol structure

Lattice parameters (Å, degrees): 4.4637 4.4637 5.3089 90.00 90.00 90.00
Last column: nearest neighbours and their distance in Å.
Positions (direct):
1 Ti 0.0000 0.0000 0.0000  4 Br 3.16, 8 P 3.47
2 P 0.0000 0.5000 0.5000  2 Os 2.23
3 P 0.5000 0.0000 0.5000  2 Os 2.23
4 Os 0.5000 0.5000 0.5000  4 P 2.23
5 Br 0.5000 0.5000 0.0000  2 Os 2.65

Crystal system = tetragonal
Energy relative to the elements, uncorrected = 567 meV per atom



Record 3
Compound: TaTeRh
Source: Alexandria via LeMat-Bulk
Functional: meta-GGA SCAN
Structure: single point on PBEsol structure

Lattice parameters (Å, degrees): 5.9654 5.9654 5.9654 149.70 149.70 43.38
Last column: nearest neighbours and their distance in Å.
Positions (direct):
1 Ta 0.0000 0.0000 0.0000  4 Rh 2.70, 4 Te 2.96
2 Te 0.6778 0.6778 0.0000  4 Ta 2.96, 4 Rh 2.99, 4 Te 3.12
3 Rh 0.3593 0.3593 0.0000  4 Ta 2.70, 4 Te 2.99

Crystal system = tetragonal
Energy relative to the elements, uncorrected = -38 meV per atom



Record 4
Compound: Na2Si2Se5
Source: Alexandria via LeMat-Bulk
Functional: meta-GGA SCAN
Structure: single point on PBEsol structure

Lattice parameters (Å, degrees): 9.3566 9.3566 10.8283 90.00 90.00 89.03
Last column: nearest neighbours and their distance in Å.
Positions (direct):
1 Na 0.0702 0.5803 0.7500  5 Se 3.04-3.34
2 Na 0.1489 0.1489 0.0000  4 Se 2.96-3.00
3 Na 0.1489 0.1489 0.5000  4 Se 2.96-3.00
4 Na 0.4197 0.9298 0.7500  5 Se 3.04-3.34
5 Na 0.5803 0.0702 0.2500  5 Se 3.04-3.34
6 Na 0.8511 0.8511 0.0000  4 Se 2.96-3.00
7 Na 0.8511 0.8511 0.5000  4 Se 2.96-3.00
8 Na 0.9298 0.4197 0.2500  5 Se 3.04-3.34
9 Si 0.2540 0.7460 0.0816  4 Se 2.22-2.30
10 Si 0.2540 0.7460 0.4184  4 Se 2.22-2.30
11 Si 0.3178 0.4123 0.2500  4 Se 2.22-2.31
12 Si 0.4123 0.3178 0.7500  4 Se 2.22-2.31
13 Si 0.5877 0.6822 0.2500  4 Se 2.22-2.31
14 Si 0.6822 0.5877 0.7500  4 Se 2.22-2.31
15 Si 0.7460 0.2540 0.5816  4 Se 2.22-2.30
16 Si 0.7460 0.2540 0.9184  4 Se 2.22-2.30
17 Se 0.1484 0.8516 0.2500  2 Si 2.29
18 Se 0.1563 0.8437 0.5860  1 Si 2.22
19 Se 0.1563 0.8437 0.9140  1 Si 2.22
20 Se 0.1806 0.2727 0.7500  1 Si 2.22
21 Se 0.2097 0.5047 0.0753  2 Si 2.30-2.31
22 Se 0.2097 0.5047 0.4247  2 Si 2.30-2.31
23 Se 0.2727 0.1806 0.2500  1 Si 2.22
24 Se 0.4407 0.5593 0.7500  2 Si 2.28
25 Se 0.4953 0.7903 0.0753  2 Si 2.30-2.31
26 Se 0.4953 0.7903 0.4247  2 Si 2.30-2.31
27 Se 0.5047 0.2097 0.5753  2 Si 2.30-2.31
28 Se 0.5047 0.2097 0.9247  2 Si 2.30-2.31
29 Se 0.5593 0.4407 0.2500  2 Si 2.28
30 Se 0.7273 0.8194 0.7500  1 Si 2.22
31 Se 0.7903 0.4953 0.5753  2 Si 2.30-2.31
32 Se 0.7903 0.4953 0.9247  2 Si 2.30-2.31
33 Se 0.8194 0.7273 0.2500  1 Si 2.22
34 Se 0.8437 0.1563 0.0860  1 Si 2.22
35 Se 0.8437 0.1563 0.4140  1 Si 2.22
36 Se 0.8516 0.1484 0.7500  2 Si 2.29

Crystal system = orthorhombic
Energy relative to the elements, uncorrected = -843 meV per atom



Record 5
Compound: Ba2CoPb
Source: Alexandria via LeMat-Bulk
Functional: meta-GGA SCAN
Structure: single point on PBEsol structure

Lattice parameters (Å, degrees): 5.4282 5.4282 5.4282 60.00 60.00 60.00
Last column: nearest neighbours and their distance in Å.
Positions (direct):
1 Ba 0.0000 0.0000 0.0000  4 Ba 3.32, 4 Co 3.32
2 Ba 0.2500 0.2500 0.2500  4 Ba 3.32, 4 Pb 3.32
3 Co 0.7500 0.7500 0.7500  4 Ba 3.32, 4 Pb 3.32
4 Pb 0.5000 0.5000 0.5000  4 Ba 3.32, 4 Co 3.32

Crystal system = cubic



Record 6
Compound: GeTeI2O
Source: Alexandria via LeMat-Bulk
Functional: meta-GGA SCAN
Structure: single point on PBEsol structure

Lattice parameters (Å, degrees): 5.8515 5.8515 3.6870 90.00 90.00 90.00
Last column: nearest neighbours and their distance in Å.
Positions (direct):
1 Ge 0.0000 0.0000 0.0000  2 O 1.84
2 Te 0.5000 0.5000 0.5000  8 I 3.46, 2 Te 3.69
3 I 0.0000 0.5000 0.0000  2 Ge 2.93
4 I 0.5000 0.0000 0.0000  2 Ge 2.93
5 O 0.0000 0.0000 0.5000  2 Ge 1.84

Crystal system = tetragonal
Energy relative to the elements, uncorrected = -5 meV per atom



Record 7
Compound: YTe2Pd2
Source: Alexandria via LeMat-Bulk
Functional: meta-GGA SCAN
Structure: single point on PBEsol structure

Lattice parameters (Å, degrees): 7.3682 7.3682 7.3682 148.51 148.51 45.14
Last column: nearest neighbours and their distance in Å.
Positions (direct):
1 Y 0.0000 0.0000 0.0000  8 Te 3.24
2 Te 0.3834 0.3834 0.0000  4 Pd 2.70
3 Te 0.6166 0.6166 0.0000  4 Pd 2.70
4 Pd 0.2500 0.7500 0.5000  4 Te 2.70, 4 Pd 2.83
5 Pd 0.7500 0.2500 0.5000  4 Te 2.70, 4 Pd 2.83

Crystal system = tetragonal
Energy relative to the elements, uncorrected = -739 meV per atom



Record 8
Compound: SrLiCd
Source: Alexandria via LeMat-Bulk
Functional: meta-GGA SCAN
Structure: single point on PBEsol structure

Lattice parameters (Å, degrees): 4.9345 4.9345 4.1629 90.00 90.00 120.00
Last column: nearest neighbours and their distance in Å.
Positions (direct):
1 Sr 0.0000 0.0000 0.0000  6 Cd 3.53, 6 Li 3.53
2 Li 0.6667 0.3333 0.5000  3 Cd 2.85
3 Cd 0.3333 0.6667 0.5000  3 Li 2.85

Crystal system = hexagonal



Record 9
Compound: CaAu3
Source: Alexandria via LeMat-Bulk
Functional: meta-GGA SCAN
Structure: single point on PBEsol structure

Lattice parameters (Å, degrees): 5.1625 5.1625 5.1625 131.58 131.58 70.90
Last column: nearest neighbours and their distance in Å.
Positions (direct):
1 Ca 0.0000 0.0000 0.0000  12 Au 2.98-2.99
2 Au 0.2500 0.7500 0.5000  4 Ca 2.98, 8 Au 2.98-2.99
3 Au 0.5000 0.5000 0.0000  8 Au 2.98, 4 Ca 2.99
4 Au 0.7500 0.2500 0.5000  4 Ca 2.98, 8 Au 2.98-2.99

Crystal system = tetragonal



Record 10
Compound: NiPtBr2
Source: Alexandria via LeMat-Bulk
Functional: meta-GGA SCAN
Structure: single point on PBEsol structure

Lattice parameters (Å, degrees): 4.5771 4.5771 4.5771 60.00 60.00 60.00
Last column: nearest neighbours and their distance in Å.
Positions (direct):
1 Ni 0.0000 0.0000 0.0000  8 Br 2.80
2 Pt 0.5000 0.5000 0.5000  8 Br 2.80
3 Br 0.2500 0.2500 0.2500  4 Ni 2.80, 4 Pt 2.80
4 Br 0.7500 0.7500 0.7500  4 Pt 2.80, 4 Ni 2.80

Crystal system = cubic
Energy relative to the elements, uncorrected = 902 meV per atom



Record 11
Compound: KTiF4
Source: Alexandria via LeMat-Bulk
Functional: meta-GGA SCAN
Structure: single point on PBEsol structure

Lattice parameters (Å, degrees): 7.6802 7.6802 3.9570 104.49 104.49 68.12
Last column: nearest neighbours and their distance in Å.
Positions (direct):
1 K 0.1874 0.1874 0.1821  5 F 2.56-2.61
2 K 0.8126 0.8126 0.8179  5 F 2.56-2.61
3 Ti 0.3116 0.6884 0.5000  6 F 1.90-2.04
4 Ti 0.6884 0.3116 0.5000  6 F 1.90-2.04
5 F 0.0528 0.6992 0.3793  1 Ti 1.90
6 F 0.3008 0.9472 0.6207  1 Ti 1.90
7 F 0.3081 0.6919 0.0000  2 Ti 1.98
8 F 0.3983 0.3983 0.4015  2 Ti 2.04
9 F 0.6017 0.6017 0.5985  2 Ti 2.04
10 F 0.6919 0.3081 0.0000  2 Ti 1.98
11 F 0.6992 0.0528 0.3793  1 Ti 1.90
12 F 0.9472 0.3008 0.6207  1 Ti 1.90

Crystal system = monoclinic
Energy relative to the elements, uncorrected = -3408 meV per atom



Record 12
Compound: LaBeAl3
Source: Alexandria via LeMat-Bulk
Functional: meta-GGA SCAN
Structure: single point on PBEsol structure

Lattice parameters (Å, degrees): 6.1371 6.1371 6.1371 139.66 139.66 58.37
Last column: nearest neighbours and their distance in Å.
Positions (direct):
1 La 0.0000 0.0000 0.0000  12 Al 3.25-3.41, 4 Be 3.41
2 Be 0.7500 0.2500 0.5000  4 Al 2.54
3 Al 0.2500 0.7500 0.5000  4 Al 2.54
4 Al 0.3809 0.3809 0.0000  2 Be 2.54, 3 Al 2.54-2.55
5 Al 0.6191 0.6191 0.0000  2 Be 2.54, 3 Al 2.54-2.55

Crystal system = tetragonal



Going through the records in order, we get VASP energy values of -13.3148, -25.0662, -45.9065, -15.1598, -42.7977, -27.2155, -34.3174, -18.6116, -54.9020, -30.4193, -9.8280, -14.4385 eV/atom.
Going through the records in order, we get magnetization values of 0.0, 2.6, 0.0, 0.0, 1.0, 0.0, 0.0, 0.0, 0.0, 0.0, 1.0, 0.0 μB/f.u..